[1]
## DyTh2Sn9 (PBE)

Data for DyTh2Sn9 after structural relaxation.

Lattice parameters (Å, degrees): 4.743 4.743 14.190 90.00 90.00 90.00
Fractional positions:
Dy: 0.000 0.000 0.000
Th: 0.000 0.000 0.334
Th: 0.000 0.000 0.666
Sn: 0.500 0.500 0.000
Sn: 0.500 0.500 0.331
Sn: 0.500 0.500 0.669
Sn: 0.500 0.000 0.163
Sn: 0.500 0.000 0.500
Sn: 0.500 0.000 0.837
Sn: 0.000 0.500 0.163
Sn: 0.000 0.500 0.500
Sn: 0.000 0.500 0.837

Calculated values
The calculation puts the total energy at -5.058 eV/atom. The value obtained for the spin magnetization is 0.0 μB per cell. As for the formation energy from the elements: -0.435 eV/atom.



[2]
## PaPbSeO6 (PBE)

Data for PaPbSeO6 after structural relaxation.

Lattice parameters (Å, degrees): 5.596 5.596 10.496 90.00 90.00 120.00
Fractional positions:
Pa: 0.333 0.667 0.250
Pa: 0.667 0.333 0.750
Pb: 0.000 0.000 0.000
Pb: 0.000 0.000 0.500
Se: 0.667 0.333 0.250
Se: 0.333 0.667 0.750
O: 0.647 0.614 0.146
O: 0.967 0.353 0.146
O: 0.353 0.967 0.646
O: 0.033 0.647 0.854
O: 0.386 0.353 0.354
O: 0.967 0.614 0.354
O: 0.614 0.967 0.854
O: 0.647 0.033 0.354
O: 0.033 0.386 0.646
O: 0.386 0.033 0.146
O: 0.614 0.647 0.646
O: 0.353 0.386 0.854

Calculated values
The calculation puts the total energy at -6.899 eV/atom. The value obtained for the spin magnetization is 0.0 μB per cell.



[3]
## SrZr4O8 (PBE)

Data for SrZr4O8 after structural relaxation.

Lattice parameters (Å, degrees): 6.469 6.469 7.145 63.08 63.08 60.00
Fractional positions:
Sr: 0.500 0.500 0.500
Zr: 0.000 0.500 0.000
Zr: 0.500 0.500 0.000
Zr: 0.500 0.000 0.000
Zr: 0.000 0.000 0.000
O: 0.719 0.236 0.809
O: 0.764 0.281 0.191
O: 0.281 0.764 0.191
O: 0.764 0.764 0.191
O: 0.723 0.723 0.832
O: 0.277 0.277 0.168
O: 0.236 0.236 0.809
O: 0.236 0.719 0.809

Calculated values
The calculation puts the total energy at -8.792 eV/atom. The value obtained for the spin magnetization is 0.0 μB per cell.



[4]
## Rb2Pu2ZrS6 (PBE)

Data for Rb2Pu2ZrS6 after structural relaxation.

Lattice parameters (Å, degrees): 6.866 6.866 8.177 98.17 98.17 119.65
Last column: magnetic moment on the atom in μB.
Fractional positions:
Rb: 0.832 0.168 0.000  0.00
Rb: 0.168 0.832 0.000  0.00
Pu: 0.334 0.666 0.500  4.99
Pu: 0.666 0.334 0.500  4.99
Zr: 0.000 0.000 0.500  0.17
S: 0.746 0.746 0.684  -0.07
S: 0.062 0.380 0.684  -0.08
S: 0.254 0.254 0.316  -0.07
S: 0.380 0.062 0.684  -0.08
S: 0.938 0.620 0.316  -0.08
S: 0.620 0.938 0.316  -0.08

Calculated values
The calculation puts the total energy at -7.388 eV/atom. The value obtained for the spin magnetization is 10.0 μB per cell.



[5]
## Er3Se2 (PBE)

Data for Er3Se2 after structural relaxation.

Lattice parameters (Å, degrees): 3.874 3.874 10.150 79.00 79.00 60.00
Last column: magnetic moment on the atom in μB.
Fractional positions:
Er: 0.000 0.000 0.000  -0.03
Er: 0.788 0.788 0.637  0.16
Er: 0.212 0.212 0.363  0.16
Se: 0.392 0.392 0.824  0.00
Se: 0.608 0.608 0.176  0.00

Calculated values
For the relative energy among the computed polymorphs, the calculation gives 0 meV/atom. The calculation puts the total energy at -5.486 eV/atom. The value obtained for the spin magnetization is 0.4 μB per cell.



[6]
## MgVCd2 (PBE)

Data for MgVCd2 after structural relaxation.

Lattice parameters (Å, degrees): 2.974 2.974 10.966 82.21 82.21 60.00
Last column: magnetic moment on the atom in μB.
Fractional positions:
Mg: 0.500 0.500 0.500  0.00
V: 0.000 0.000 0.000  1.72
Cd: 0.087 0.087 0.740  0.00
Cd: 0.913 0.913 0.260  0.00

Calculated values
The calculation puts the total energy at -2.645 eV/atom. The value obtained for the spin magnetization is 2.0 μB per cell. As for the formation energy from the elements: 0.491 eV/atom.